A geometry-optimized Sr2MoRh2 structure, computed with PBE.

E_tot	-5.658	eV/atom
crystal system	tetragonal
formation enthalpy at 0 K	59	kJ/mol of formula units
volume	114	Å³/f.u.

Geometry as CIF:
```
data_Sr2MoRh2
_chemical_formula_sum 'Sr4 Mo2 Rh4'
_space_group_name_H-M_alt 'P 4/m b m'
_space_group_IT_number 127
_space_group_name_Hall '-P 4 2ab'
_cell_length_a 6.696
_cell_length_b 6.696
_cell_length_c 5.090
_cell_angle_alpha 90.00
_cell_angle_beta 90.00
_cell_angle_gamma 90.00
loop_
_atom_site_label
_atom_site_type_symbol
_atom_site_fract_x
_atom_site_fract_y
_atom_site_fract_z
_atom_site_occupancy
Sr1 Sr 0.179 0.321 0.000 1
Mo1 Mo 0.000 0.000 0.500 1
Rh1 Rh 0.142 0.642 0.500 1
```